Here is crystalline Ac2La3DySe6 at its relaxed geometry from Alexandria. Energies are from PBE-GGA.

The structure in extended XYZ format:
```
12
Lattice="7.510 -0.008 -0.005 -3.760 6.501 -0.005 -1.256 -2.175 7.052" Properties=species:S:1:pos:R:3 pbc="T T T"
Ac 0.008 4.325 -0.005
Ac 3.742 2.168 -0.005
La -2.444 4.290 3.520
La 4.937 0.027 3.520
La 1.247 2.159 3.520
Dy 0.000 0.000 0.000
Se 3.692 2.260 5.301
Se 2.562 4.435 1.781
Se -1.199 2.057 1.740
Se 0.113 4.327 5.301
Se -0.068 -0.118 5.260
Se 2.381 -0.010 1.740
```

Calculated density, g/cm³: 7.277
Crystal system: monoclinic
Formation energy without anion corrections, kJ/mol of atoms: -183.3
Space-group type: C2/m



Here is crystalline ReAu3C at its relaxed geometry from Alexandria. Energies are from PBE-GGA.

The structure in extended XYZ format:
```
5
Lattice="4.293 0.000 0.000 0.000 4.293 0.000 0.000 0.000 4.293" Properties=species:S:1:pos:R:3 pbc="T T T"
Re 2.147 2.147 2.147
C 0.000 0.000 0.000
Au 0.000 2.147 0.000
Au 0.000 0.000 2.147
Au 2.147 0.000 0.000
```

Offset from the most stable computed form, meV per atom: 0
Energy relative to the elements, eV per atom: 1.4460
Calculated density, g/cm³: 16.561
Crystal system: cubic
Space-group type: Pm-3m



Here is crystalline LiAg5I8 at its relaxed geometry from Alexandria. Energies are from PBE-GGA.

The structure in extended XYZ format:
```
14
Lattice="-0.212 4.639 7.377 3.771 -3.113 7.217 7.291 3.683 3.044" Properties=species:S:1:pos:R:3 pbc="T T T"
Li 2.712 1.302 4.410
Ag 0.000 0.000 0.000
Ag 3.150 1.421 9.498
Ag 6.773 3.252 11.010
Ag 6.878 0.946 7.344
Ag 4.899 4.799 7.424
I 5.932 0.489 10.164
I 4.023 4.204 10.241
I 4.125 1.980 6.706
I 7.619 3.745 8.165
I 5.974 2.782 13.874
I 9.519 2.330 11.827
I 9.418 4.522 15.312
I 7.637 5.993 11.903
```

Calculated density, g/cm³: 5.536
Crystal system: cubic
Formation energy without anion corrections, kJ/mol of atoms: -27.3
Space-group type: F-43m



Here is crystalline Ba12Tl3Cl5 at its relaxed geometry from Alexandria. Energies are from PBE-GGA.

The structure in extended XYZ format:
```
80
Lattice="-11.754 3.376 11.903 13.903 -6.540 7.428 4.148 14.410 -8.146" Properties=species:S:1:pos:R:3 pbc="T T T"
Tl -3.083 1.881 10.694
Tl 0.661 -0.149 14.968
Tl 8.612 5.368 4.943
Tl 0.355 5.430 0.849
Tl -7.510 5.739 9.307
Tl 5.319 0.781 7.069
Tl 0.979 10.465 4.115
Tl 13.807 5.507 1.877
Tl 5.942 5.816 10.335
Tl -2.315 5.879 6.241
Tl 5.636 11.396 -3.783
Tl 9.381 9.366 0.490
Cl 4.781 1.572 2.237
Cl 6.951 -3.270 3.714
Cl 0.000 0.000 0.000
Cl -0.413 1.432 5.302
Cl -3.803 8.893 1.878
Cl 1.075 -1.582 9.665
Cl 10.513 0.921 4.004
Cl -3.448 14.323 2.727
Cl 1.430 3.849 10.515
Cl 0.441 11.256 -0.718
Cl 5.856 -0.010 11.902
Cl 3.149 5.623 5.592
Cl -5.877 1.688 5.951
Cl 2.074 7.205 -4.073
Cl 4.868 7.398 0.670
Cl 9.745 -3.077 8.457
Cl 9.026 3.935 -0.359
Cl -4.216 10.325 7.180
Cl 6.711 9.814 5.882
Cl 1.516 9.674 8.948
Ba -6.504 2.190 9.189
Ba 5.466 3.494 4.484
Ba -4.941 4.838 11.887
Ba -2.770 2.242 7.035
Ba 5.875 7.066 6.863
Ba -2.362 1.970 14.313
Ba 8.758 1.871 6.290
Ba 12.140 -3.793 6.735
Ba 9.239 5.493 8.578
Ba 0.500 1.137 11.512
Ba -1.252 4.986 9.661
Ba 3.211 -2.598 16.219
Ba 10.748 3.529 2.469
Ba 1.757 -0.127 6.741
Ba 13.157 -0.310 4.846
Ba -0.577 8.997 1.035
Ba 2.320 2.315 0.623
Ba 4.408 -1.636 9.788
Ba 4.136 0.864 14.245
Ba 4.527 -0.982 3.856
Ba 12.194 6.223 5.186
Ba 3.534 3.756 8.330
Ba 2.936 5.515 12.556
Ba -0.929 13.621 4.268
Ba 2.763 7.491 2.854
Ba 3.362 5.731 -1.372
Ba 7.226 -2.375 6.916
Ba 2.162 10.383 -3.061
Ba -5.897 5.024 5.998
Ba 1.770 12.229 7.328
Ba 1.889 12.883 1.397
Ba 6.874 2.250 10.149
Ba 3.977 8.932 10.562
Ba -6.859 11.557 6.338
Ba -4.451 7.717 8.715
Ba 3.086 13.844 -5.035
Ba 4.541 11.374 4.443
Ba -2.942 5.753 2.607
Ba 5.797 10.110 -0.328
Ba 7.549 6.261 1.523
Ba -5.843 15.039 4.449
Ba -2.460 9.376 4.894
Ba 9.068 9.004 4.150
Ba 8.659 9.276 -3.129
Ba 0.422 4.180 4.321
Ba 11.239 6.408 -0.702
Ba 0.832 7.753 6.700
Ba 12.801 9.057 1.995
```

Calculated density, g/cm³: 4.233
Crystal system: cubic
Formation energy without anion corrections, kJ/mol of atoms: -94.4
Space-group type: Ia-3d



Here is crystalline LiCo2H at its relaxed geometry from Alexandria. Energies are from PBE-GGA.

The structure in extended XYZ format:
```
4
Lattice="0.000 2.607 2.607 2.607 0.000 2.607 2.607 2.607 0.000" Properties=species:S:1:pos:R:3 pbc="T T T"
H 0.000 0.000 0.000
Co 1.304 1.304 1.304
Co 3.911 3.911 3.911
Li 2.607 2.607 2.607
```

Offset from the most stable computed form, meV per atom: 431
Calculated density, g/cm³: 5.895
Crystal system: cubic
Space-group type: Fm-3m



Here is crystalline InReBr2 at its relaxed geometry from Alexandria. Energies are from PBE-GGA.

The structure in extended XYZ format:
```
4
Lattice="3.248 0.000 0.000 0.000 5.542 0.177 0.000 4.078 4.823" Properties=species:S:1:pos:R:3 pbc="T T T"
Re 0.000 2.039 2.411
Br 0.000 0.000 0.000
Br 1.624 2.771 0.088
In 1.624 4.810 2.500
```

Offset from the most stable computed form, meV per atom: 765
Calculated density, g/cm³: 9.059
Crystal system: monoclinic
Formation energy without anion corrections, kJ/mol of atoms: 90.1
Space-group type: P2/m



Here is crystalline Pm14ErTm at its relaxed geometry from Alexandria. Energies are from PBE-GGA.

The structure in extended XYZ format:
```
16
Lattice="-6.766 1.677 2.050 0.870 -3.911 6.061 3.531 8.309 4.854" Properties=species:S:1:pos:R:3 pbc="T T T"
Pm -0.229 2.340 6.984
Pm -4.045 5.132 4.979
Pm -5.375 -0.976 5.580
Pm -3.612 3.177 8.011
Pm -2.430 0.140 1.528
Pm -0.662 4.295 3.952
Pm -0.809 3.879 10.236
Pm -2.592 -0.316 7.785
Pm 2.136 4.994 6.183
Pm 0.353 0.800 3.733
Pm 2.572 3.040 9.212
Pm 0.789 -1.155 6.762
Pm -1.246 5.833 7.206
Pm -3.028 1.639 4.756
Er -5.813 0.980 2.550
Tm -1.992 -1.816 4.558
```

Energy relative to the elements, eV per atom: 0.0155
Calculated density, g/cm³: 7.261
Crystal system: tetragonal
Space-group type: P4/mmm



Here is crystalline CoSb2 at its relaxed geometry from Alexandria. Energies are from PBE-GGA.

The structure in extended XYZ format:
```
12
Lattice="-3.258 0.301 1.013 -1.153 -5.288 -2.136 3.054 -5.262 11.379" Properties=species:S:1:pos:R:3 pbc="T T T"
Co -1.805 -3.878 4.029
Co 0.097 -4.786 10.414
Co -1.454 -5.464 -0.158
Co 0.449 -6.372 6.227
Sb 1.129 -9.133 9.233
Sb -0.270 -5.915 3.781
Sb 1.212 -6.202 8.630
Sb -1.086 -4.334 6.475
Sb -2.486 -1.117 1.023
Sb -2.569 -4.048 1.626
Sb -0.009 -2.165 3.508
Sb -1.348 -8.084 6.748
```

Calculated density, g/cm³: 7.812
Crystal system: orthorhombic
Formation energy without anion corrections, kJ/mol of atoms: -8.7
Space-group type: Pnma



Here is crystalline Mg3BO3F3 at its relaxed geometry from Alexandria. Energies are from PBE-GGA.

The structure in extended XYZ format:
```
20
Lattice="8.900 0.000 0.000 -4.450 7.707 0.000 0.000 0.000 3.140" Properties=species:S:1:pos:R:3 pbc="T T T"
Mg 3.133 0.235 0.785
Mg -2.679 5.111 2.355
Mg 1.316 7.472 2.355
Mg 3.087 4.876 0.785
Mg 7.129 2.596 0.785
Mg 1.363 2.831 2.355
B 0.000 5.138 0.785
B 4.450 2.569 2.355
O 0.238 6.513 0.785
O 5.759 3.050 2.355
O 1.072 4.245 0.785
O 3.378 3.463 2.355
O 4.212 1.194 2.355
O -1.310 4.657 0.785
F 2.720 6.083 2.355
F -2.178 7.021 2.355
F 1.730 1.624 0.785
F 4.991 5.397 0.785
F 6.628 0.686 0.785
F -0.542 2.311 2.355
```

Calculated density, g/cm³: 2.910
Crystal system: hexagonal
Formation energy without anion corrections, kJ/mol of atoms: -298.1
Space-group type: P6_3/m



Here is crystalline Be2NbPRu at its relaxed geometry from Alexandria. Energies are from PBE-GGA.

The structure in extended XYZ format:
```
5
Lattice="-3.931 0.033 -1.010 -0.733 -4.044 2.721 -0.810 2.320 3.230" Properties=species:S:1:pos:R:3 pbc="T T T"
Ru 0.000 0.000 0.000
Nb -0.367 -2.022 1.360
Be -0.405 1.160 1.615
Be -1.966 0.017 -0.505
P -2.737 -0.845 2.471
```

Energy relative to the elements, eV per atom: 0.7186
Calculated density, g/cm³: 4.968
Crystal system: tetragonal
Space-group type: P4/mmm



Here is crystalline La2ZnIrPt at its relaxed geometry from Alexandria. Energies are from PBE-GGA.

The structure in extended XYZ format:
```
10
Lattice="-3.280 0.717 -2.521 -0.740 -4.127 -0.212 -8.198 0.909 10.925" Properties=species:S:1:pos:R:3 pbc="T T T"
La -6.021 -1.437 7.424
La -1.260 -1.965 1.080
La -8.948 1.169 8.478
La -4.187 0.641 2.134
Zn -4.099 0.455 5.462
Zn -6.109 -1.250 4.096
Ir -2.550 0.460 -0.047
Ir -7.658 -1.255 9.606
Pt -6.734 0.924 5.528
Pt -3.474 -1.719 4.030
```

Energy relative to the elements, eV per atom: -0.7885
Calculated density, g/cm³: 10.056
Crystal system: tetragonal
Space-group type: P4/nmm



Here is crystalline DyYPu2As4 at its relaxed geometry from Alexandria. Energies are from PBE-GGA.

The structure in extended XYZ format:
```
8
Lattice="-3.749 -1.711 -0.349 2.525 -6.099 2.777 -2.401 4.192 5.230" Properties=species:S:1:pos:R:3 pbc="T T T"
Dy -0.612 -3.905 1.214
Y 0.000 0.000 0.000
Pu -3.075 1.241 2.440
Pu 0.062 -0.953 4.004
As -1.847 -1.328 1.846
As -1.778 -2.289 5.812
As -1.164 1.612 4.602
As 1.289 -3.518 3.406
```

Energy relative to the elements, eV per atom: -1.2839
Calculated density, g/cm³: 8.685
Crystal system: monoclinic
Space-group type: P2/m